No. 1
# Sc2Ta | Alexandria | PBE-GGA | optimized geometry
data_Sc2Ta
_chemical_formula_sum 'Sc4 Ta2'
_cell_length_a 3.0284
_cell_length_b 3.0284
_cell_length_c 14.3170
_cell_angle_alpha 90.00
_cell_angle_beta 90.00
_cell_angle_gamma 90.00
_space_group_name_H-M_alt 'I 4/m m m'
_space_group_IT_number 139
_space_group_name_Hall '-I 4 2'
loop_
_atom_site_label
_atom_site_type_symbol
_atom_site_fract_x
_atom_site_fract_y
_atom_site_fract_z
Sc1 Sc 0.0000 0.0000 0.1514
Ta1 Ta 0.0000 0.0000 0.5000
# density: 6.851 g/cm3
# formation energy: 37 kJ/mol of formula units
# total moment: 0.00 μB per cell
# crystal system: tetragonal

No. 2
# Sc2Ta | Alexandria | PBE-GGA | optimized geometry
data_Sc2Ta
_chemical_formula_sum 'Sc8 Ta4'
_cell_length_a 3.0020
_cell_length_b 3.0020
_cell_length_c 29.8196
_cell_angle_alpha 90.00
_cell_angle_beta 90.00
_cell_angle_gamma 90.00
_space_group_name_H-M_alt 'I 41/a m d'
_space_group_IT_number 141
loop_
_space_group_symop_operation_xyz
'x,y,z'
'-x,-y,-z'
'-y+1/4,x+3/4,z+1/4'
'y+1/4,-x+3/4,-z+1/4'
'-x+1/2,-y,z+1/2'
'x+1/2,y,-z+1/2'
'y+1/4,-x+1/4,z+3/4'
'-y+1/4,x+1/4,-z+3/4'
'x,-y,-z'
'-x,y,z'
'-y+1/4,-x+1/4,-z+3/4'
'y+1/4,x+1/4,z+3/4'
'-x+1/2,y,-z+1/2'
'x+1/2,-y,z+1/2'
'y+1/4,x+3/4,-z+1/4'
'-y+1/4,-x+3/4,z+1/4'
'x+1/2,y+1/2,z+1/2'
'-x+1/2,-y+1/2,-z+1/2'
'-y+3/4,x+1/4,z+3/4'
'y+3/4,-x+1/4,-z+3/4'
'-x,-y+1/2,z'
'x,y+1/2,-z'
'y+3/4,-x+3/4,z+1/4'
'-y+3/4,x+3/4,-z+1/4'
'x+1/2,-y+1/2,-z+1/2'
'-x+1/2,y+1/2,z+1/2'
'-y+3/4,-x+3/4,-z+1/4'
'y+3/4,x+3/4,z+1/4'
'-x,y+1/2,-z'
'x,-y+1/2,z'
'y+3/4,x+1/4,-z+3/4'
'-y+3/4,-x+1/4,z+3/4'
loop_
_atom_site_label
_atom_site_type_symbol
_atom_site_fract_x
_atom_site_fract_y
_atom_site_fract_z
Sc1 Sc 0.0000 0.2500 0.3019
Ta1 Ta 0.0000 0.2500 0.8750
# density: 6.695 g/cm3
# formation energy: 53 kJ/mol of formula units
# total moment: 0.00 μB per cell
# crystal system: tetragonal

No. 3
# ScTa | Alexandria | PBE-GGA | optimized geometry
data_ScTa
_chemical_formula_sum 'Sc8 Ta8'
_cell_length_a 11.6867
_cell_length_b 11.6867
_cell_length_c 2.8530
_cell_angle_alpha 90.00
_cell_angle_beta 90.00
_cell_angle_gamma 90.00
_space_group_name_H-M_alt 'I 4/m'
_space_group_IT_number 87
_space_group_name_Hall '-I 4'
loop_
_atom_site_label
_atom_site_type_symbol
_atom_site_fract_x
_atom_site_fract_y
_atom_site_fract_z
Sc1 Sc 0.0645 0.6587 0.0000
Ta1 Ta 0.1497 0.2115 0.0000
# density: 7.701 g/cm3
# formation energy: 137 kJ/mol of formula units
# total moment: 0.00 μB per cell
# crystal system: tetragonal

No. 4
# ScTa | Alexandria | PBE-GGA | optimized geometry
data_ScTa
_chemical_formula_sum 'Sc16 Ta16'
_cell_length_a 5.3093
_cell_length_b 8.7134
_cell_length_c 15.2679
_cell_angle_alpha 90.00
_cell_angle_beta 90.00
_cell_angle_gamma 90.00
_space_group_name_H-M_alt 'F d d d'
_space_group_IT_number 70
loop_
_space_group_symop_operation_xyz
'x,y,z'
'-x,-y,-z'
'-x+1/4,-y+1/4,z'
'x+1/4,y+1/4,-z'
'x,-y+1/4,-z+1/4'
'-x,y+1/4,z+1/4'
'-x+1/4,y,-z+1/4'
'x+1/4,-y,z+1/4'
'x,y+1/2,z+1/2'
'-x,-y+1/2,-z+1/2'
'-x+1/4,-y+3/4,z+1/2'
'x+1/4,y+3/4,-z+1/2'
'x,-y+3/4,-z+3/4'
'-x,y+3/4,z+3/4'
'-x+1/4,y+1/2,-z+3/4'
'x+1/4,-y+1/2,z+3/4'
'x+1/2,y,z+1/2'
'-x+1/2,-y,-z+1/2'
'-x+3/4,-y+1/4,z+1/2'
'x+3/4,y+1/4,-z+1/2'
'x+1/2,-y+1/4,-z+3/4'
'-x+1/2,y+1/4,z+3/4'
'-x+3/4,y,-z+3/4'
'x+3/4,-y,z+3/4'
'x+1/2,y+1/2,z'
'-x+1/2,-y+1/2,-z'
'-x+3/4,-y+3/4,z'
'x+3/4,y+3/4,-z'
'x+1/2,-y+3/4,-z+1/4'
'-x+1/2,y+3/4,z+1/4'
'-x+3/4,y+1/2,-z+1/4'
'x+3/4,-y+1/2,z+1/4'
loop_
_atom_site_label
_atom_site_type_symbol
_atom_site_fract_x
_atom_site_fract_y
_atom_site_fract_z
Sc1 Sc 0.1250 0.2950 0.1250
Ta1 Ta 0.1250 0.1250 0.5444
# density: 8.497 g/cm3
# formation energy: 90 kJ/mol of formula units
# total moment: 0.00 μB per cell
# crystal system: orthorhombic

No. 5
# Sc2Ta | Alexandria | PBE-GGA | optimized geometry
data_Sc2Ta
_chemical_formula_sum 'Sc8 Ta4'
_cell_length_a 5.0579
_cell_length_b 3.1043
_cell_length_c 16.4729
_cell_angle_alpha 90.00
_cell_angle_beta 90.00
_cell_angle_gamma 90.00
_space_group_name_H-M_alt 'A m m 2'
_space_group_IT_number 38
_space_group_name_Hall 'A 2 -2'
loop_
_atom_site_label
_atom_site_type_symbol
_atom_site_fract_x
_atom_site_fract_y
_atom_site_fract_z
Sc1 Sc 0.0000 0.0000 0.0000
Sc2 Sc 0.0000 0.0000 0.3252
Sc3 Sc 0.0000 0.0000 0.6650
Sc4 Sc 0.5000 0.0000 0.8904
Ta1 Ta 0.5000 0.0000 0.2138
Ta2 Ta 0.5000 0.0000 0.5635
# density: 6.956 g/cm3
# formation energy: 40 kJ/mol of formula units
# total moment: 0.00 μB per cell
# crystal system: orthorhombic

No. 6
# ScTa | Alexandria | PBE-GGA | optimized geometry
data_ScTa
_chemical_formula_sum 'Sc2 Ta2'
_cell_length_a 2.9875
_cell_length_b 4.7815
_cell_length_c 5.9253
_cell_angle_alpha 90.00
_cell_angle_beta 102.58
_cell_angle_gamma 90.00
_space_group_name_H-M_alt 'P 1 21/m 1'
_space_group_IT_number 11
_space_group_name_Hall '-P 2yb'
loop_
_atom_site_label
_atom_site_type_symbol
_atom_site_fract_x
_atom_site_fract_y
_atom_site_fract_z
Sc1 Sc 0.1828 0.2500 0.3506
Ta1 Ta 0.3919 0.2500 0.8815
# density: 9.082 g/cm3
# formation energy: 27 kJ/mol of formula units
# total moment: 0.00 μB per cell
# crystal system: monoclinic

No. 7
# Sc2Ta | Alexandria | PBE-GGA | optimized geometry
data_Sc2Ta
_chemical_formula_sum 'Sc8 Ta4'
_cell_length_a 11.5696
_cell_length_b 3.0753
_cell_length_c 8.6052
_cell_angle_alpha 90.00
_cell_angle_beta 121.63
_cell_angle_gamma 90.00
_space_group_name_H-M_alt 'C 1 2/m 1'
_space_group_IT_number 12
_space_group_name_Hall '-C 2y'
loop_
_atom_site_label
_atom_site_type_symbol
_atom_site_fract_x
_atom_site_fract_y
_atom_site_fract_z
Sc1 Sc 0.1144 0.0000 0.3434
Sc2 Sc 0.1451 0.5000 0.0243
Ta1 Ta 0.1194 0.5000 0.6632
# density: 6.901 g/cm3
# formation energy: 27 kJ/mol of formula units
# total moment: 0.00 μB per cell
# crystal system: monoclinic

No. 8
# ScTa3 | Alexandria | PBE-GGA | optimized geometry
data_ScTa3
_chemical_formula_sum 'Sc1 Ta3'
_cell_length_a 2.8160
_cell_length_b 4.7085
_cell_length_c 5.8180
_cell_angle_alpha 90.00
_cell_angle_beta 90.00
_cell_angle_gamma 90.00
_space_group_name_H-M_alt 'P m m m'
_space_group_IT_number 47
_space_group_name_Hall '-P 2 2'
loop_
_atom_site_label
_atom_site_type_symbol
_atom_site_fract_x
_atom_site_fract_y
_atom_site_fract_z
Sc1 Sc 0.0000 0.0000 0.0000
Ta1 Ta 0.0000 0.0000 0.5000
Ta2 Ta 0.5000 0.5000 0.2558
# density: 12.653 g/cm3
# formation energy: 91 kJ/mol of formula units
# total moment: 0.00 μB per cell
# crystal system: orthorhombic

Record order is preserved below.
ΔE to the lowest computed polymorph: 35; 90; 604; 358; 47; 33; 0; 113 meV/atom